AcTbDy | GGA-PBE | optimized geometry

## Properties
energy relative to the lowest polymorph listed for this composition = 8 meV per atom
space-group type = Cmcm, No. 63

a = 3.7644 Å, b = 19.2597 Å, c = 5.9666 Å
α = 90.00°, β = 90.00°, γ = 90.00°
Last column: nearest neighbours and their distance in Å.
Positions (direct):
Ac 0.0000 0.2188 0.2500  4 Dy 3.71-3.89, 6 Ac 3.73-3.76, 2 Tb 3.74
Ac 0.0000 0.7812 0.7500  4 Dy 3.71-3.89, 6 Ac 3.73-3.76, 2 Tb 3.74
Ac 0.5000 0.2812 0.7500  4 Dy 3.71-3.89, 6 Ac 3.73-3.76, 2 Tb 3.74
Ac 0.5000 0.7188 0.2500  4 Dy 3.71-3.89, 6 Ac 3.73-3.76, 2 Tb 3.74
Tb 0.0000 0.4489 0.7500  6 Dy 3.53-3.67, 4 Tb 3.57-3.76, 2 Ac 3.74
Tb 0.0000 0.5511 0.2500  6 Dy 3.53-3.67, 4 Tb 3.57-3.76, 2 Ac 3.74
Tb 0.5000 0.0511 0.2500  6 Dy 3.53-3.67, 4 Tb 3.57-3.76, 2 Ac 3.74
Tb 0.5000 0.9489 0.7500  6 Dy 3.53-3.67, 4 Tb 3.57-3.76, 2 Ac 3.74
Dy 0.0000 0.1042 0.7500  6 Tb 3.53-3.67, 4 Ac 3.71-3.89, 2 Dy 3.76
Dy 0.0000 0.8958 0.2500  6 Tb 3.53-3.67, 4 Ac 3.71-3.89, 2 Dy 3.76
Dy 0.5000 0.3958 0.2500  6 Tb 3.53-3.67, 4 Ac 3.71-3.89, 2 Dy 3.76
Dy 0.5000 0.6042 0.7500  6 Tb 3.53-3.67, 4 Ac 3.71-3.89, 2 Dy 3.76

---

AcTb8Dy4 | GGA-PBE | optimized geometry

## Properties
space-group type = C2/m, No. 12

a = 6.1851 Å, b = 6.1851 Å, c = 12.4381 Å
α = 101.97°, β = 101.97°, γ = 69.30°
Last column: nearest neighbours and their distance in Å.
Positions (direct):
Ac 0.0000 0.0000 0.0000  10 Tb 3.53-3.84
Tb 0.1749 0.6459 0.2125  4 Tb 3.31-3.51, 3 Dy 3.46-3.59, 1 Ac 3.53
Tb 0.1918 0.1918 0.3459  4 Tb 3.47-3.51, 7 Dy 3.53-3.66
Tb 0.3497 0.3497 0.9350  3 Tb 3.08-3.37
Tb 0.3541 0.8251 0.7875  4 Tb 3.31-3.51, 3 Dy 3.46-3.59, 1 Ac 3.53
Tb 0.6459 0.1749 0.2125  4 Tb 3.31-3.51, 3 Dy 3.46-3.59, 1 Ac 3.53
Tb 0.6503 0.6503 0.0650  3 Tb 3.08-3.37
Tb 0.8082 0.8082 0.6541  4 Tb 3.47-3.51, 7 Dy 3.53-3.66
Tb 0.8251 0.3541 0.7875  4 Tb 3.31-3.51, 3 Dy 3.46-3.59, 1 Ac 3.53
Dy 0.2578 0.7422 0.5000  6 Dy 3.41-3.63, 6 Tb 3.46-3.66
Dy 0.2828 0.2828 0.6422  4 Dy 3.48-3.59, 8 Tb 3.52-3.59
Dy 0.7172 0.7172 0.3578  4 Dy 3.48-3.59, 8 Tb 3.52-3.59
Dy 0.7422 0.2578 0.5000  6 Dy 3.41-3.63, 6 Tb 3.46-3.66

---

AcTb8Dy2 | GGA-PBE | optimized geometry

## Properties
space-group type = C2/m, No. 12

a = 10.3452 Å, b = 10.3452 Å, c = 5.5222 Å
α = 93.11°, β = 93.11°, γ = 39.83°
Last column: nearest neighbours and their distance in Å.
Positions (direct):
Ac 0.0000 0.0000 0.0000  10 Tb 3.65-3.86
Tb 0.1330 0.5948 0.2707  4 Tb 3.25-3.54, 3 Dy 3.46-3.56
Tb 0.1905 0.1905 0.2340  4 Dy 3.31-3.56, 4 Tb 3.49-3.54
Tb 0.4052 0.8670 0.7293  4 Tb 3.25-3.54, 3 Dy 3.46-3.56
Tb 0.4532 0.4532 0.7601  2 Tb 3.13-3.49, 1 Dy 3.27
Tb 0.5468 0.5468 0.2399  2 Tb 3.13-3.49, 1 Dy 3.27
Tb 0.5948 0.1330 0.2707  4 Tb 3.25-3.54, 3 Dy 3.46-3.56
Tb 0.8095 0.8095 0.7660  4 Dy 3.31-3.56, 4 Tb 3.49-3.54
Tb 0.8670 0.4052 0.7293  4 Tb 3.25-3.54, 3 Dy 3.46-3.56
Dy 0.2852 0.2852 0.7523  11 Tb 3.27-3.56
Dy 0.7148 0.7148 0.2477  11 Tb 3.27-3.56

---

AcTb12Dy3 | GGA-PBE | optimized geometry

## Properties
space-group type = P4/mmm, No. 123

a = 5.0642 Å, b = 5.0642 Å, c = 20.2682 Å
α = 90.00°, β = 90.00°, γ = 90.00°
Last column: nearest neighbours and their distance in Å.
Positions (direct):
Ac 0.0000 0.0000 0.0000  12 Tb 3.58-3.67
Tb 0.0000 0.5000 0.1309  2 Dy 3.54, 8 Tb 3.56-3.67, 2 Ac 3.67
Tb 0.0000 0.5000 0.3769  8 Tb 3.55-3.58, 4 Dy 3.56-3.57
Tb 0.0000 0.5000 0.6231  8 Tb 3.55-3.58, 4 Dy 3.56-3.57
Tb 0.0000 0.5000 0.8691  2 Dy 3.54, 8 Tb 3.56-3.67, 2 Ac 3.67
Tb 0.5000 0.0000 0.1309  2 Dy 3.54, 8 Tb 3.56-3.67, 2 Ac 3.67
Tb 0.5000 0.0000 0.3769  8 Tb 3.55-3.58, 4 Dy 3.56-3.57
Tb 0.5000 0.0000 0.6231  8 Tb 3.55-3.58, 4 Dy 3.56-3.57
Tb 0.5000 0.0000 0.8691  2 Dy 3.54, 8 Tb 3.56-3.67, 2 Ac 3.67
Tb 0.5000 0.5000 0.0000  4 Ac 3.58, 8 Tb 3.67
Tb 0.5000 0.5000 0.2544  8 Tb 3.55-3.56, 4 Dy 3.58
Tb 0.5000 0.5000 0.5000  8 Tb 3.56, 4 Dy 3.58
Tb 0.5000 0.5000 0.7456  8 Tb 3.55-3.56, 4 Dy 3.58
Dy 0.0000 0.0000 0.2530  12 Tb 3.54-3.58
Dy 0.0000 0.0000 0.5000  12 Tb 3.56-3.58
Dy 0.0000 0.0000 0.7470  12 Tb 3.54-3.58

---

AcTb6Dy3 | GGA-PBE | optimized geometry

## Properties
energy relative to the lowest polymorph listed for this composition = 0 meV per atom
space-group type = Cmc2_1, No. 36

a = 9.1172 Å, b = 9.1172 Å, c = 9.0059 Å
α = 90.00°, β = 90.00°, γ = 116.54°
Last column: nearest neighbours and their distance in Å.
Positions (direct):
Ac 0.2212 0.7788 0.5000  6 Tb 3.43-3.61, 1 Dy 3.67
Ac 0.7788 0.2212 0.0000  6 Tb 3.43-3.61, 1 Dy 3.67
Tb 0.0482 0.9518 0.2618  4 Tb 3.36-3.45, 1 Ac 3.43, 2 Dy 3.64
Tb 0.1766 0.4697 0.7563  4 Tb 3.33-3.58, 3 Dy 3.39-3.71, 1 Ac 3.52
Tb 0.1989 0.3152 0.0860  4 Dy 3.33-3.63, 4 Tb 3.33-3.58, 1 Ac 3.61
Tb 0.2843 0.7157 0.1255  3 Dy 3.36-3.54, 2 Tb 3.39, 1 Ac 3.51
Tb 0.3152 0.1989 0.5860  4 Dy 3.33-3.63, 4 Tb 3.33-3.58, 1 Ac 3.61
Tb 0.4697 0.1766 0.2563  4 Tb 3.33-3.58, 3 Dy 3.39-3.71, 1 Ac 3.52
Tb 0.5303 0.8234 0.7563  4 Tb 3.33-3.58, 3 Dy 3.39-3.71, 1 Ac 3.52
Tb 0.6848 0.8011 0.0860  4 Dy 3.33-3.63, 4 Tb 3.33-3.58, 1 Ac 3.61
Tb 0.7157 0.2843 0.6255  3 Dy 3.36-3.54, 2 Tb 3.39, 1 Ac 3.51
Tb 0.8011 0.6848 0.5860  4 Dy 3.33-3.63, 4 Tb 3.33-3.58, 1 Ac 3.61
Tb 0.8234 0.5303 0.2563  4 Tb 3.33-3.58, 3 Dy 3.39-3.71, 1 Ac 3.52
Tb 0.9518 0.0482 0.7618  4 Tb 3.36-3.45, 1 Ac 3.43, 2 Dy 3.64
Dy 0.0322 0.3136 0.4153  2 Dy 3.32-3.44, 6 Tb 3.33-3.64
Dy 0.3136 0.0322 0.9153  2 Dy 3.32-3.44, 6 Tb 3.33-3.64
Dy 0.4500 0.5500 0.3954  7 Tb 3.35-3.71, 2 Dy 3.44, 1 Ac 3.67
Dy 0.5500 0.4500 0.8954  7 Tb 3.35-3.71, 2 Dy 3.44, 1 Ac 3.67
Dy 0.6864 0.9678 0.4153  2 Dy 3.32-3.44, 6 Tb 3.33-3.64
Dy 0.9678 0.6864 0.9153  2 Dy 3.32-3.44, 6 Tb 3.33-3.64

---

Ac2Tb4Dy7 | GGA-PBE | optimized geometry

## Properties
space-group type = P-31m, No. 162

a = 6.1804 Å, b = 6.1804 Å, c = 13.4273 Å
α = 90.00°, β = 90.00°, γ = 120.00°
Last column: nearest neighbours and their distance in Å.
Positions (direct):
Ac 0.3333 0.6667 0.0000  9 Dy 3.57, 3 Ac 3.57
Ac 0.6667 0.3333 0.0000  9 Dy 3.57, 3 Ac 3.57
Tb 0.0000 0.0000 0.3957  1 Tb 2.80
Tb 0.0000 0.0000 0.6043  1 Tb 2.80
Tb 0.3333 0.6667 0.5000  9 Tb 3.57-3.83
Tb 0.6667 0.3333 0.5000  9 Tb 3.57-3.83
Dy 0.0000 0.0000 0.0000  6 Ac 3.57, 6 Dy 3.68
Dy 0.0000 0.3545 0.7796  1 Tb 3.22, 4 Dy 3.46, 2 Ac 3.57
Dy 0.0000 0.6455 0.2204  1 Tb 3.22, 4 Dy 3.46, 2 Ac 3.57
Dy 0.3545 0.0000 0.7796  1 Tb 3.22, 4 Dy 3.46, 2 Ac 3.57
Dy 0.3545 0.3545 0.2204  1 Tb 3.22, 4 Dy 3.46, 2 Ac 3.57
Dy 0.6455 0.0000 0.2204  1 Tb 3.22, 4 Dy 3.46, 2 Ac 3.57
Dy 0.6455 0.6455 0.7796  1 Tb 3.22, 4 Dy 3.46, 2 Ac 3.57

---

AcTbDy14 | GGA-PBE | optimized geometry

## Properties
space-group type = Amm2, No. 38

a = 11.3631 Å, b = 7.2792 Å, c = 7.2792 Å
α = 60.02°, β = 90.00°, γ = 90.00°
Last column: nearest neighbours and their distance in Å.
Positions (direct):
Ac 0.0000 0.0000 0.0000  10 Dy 3.59-3.64, 2 Tb 3.64
Tb 0.0000 0.4991 0.4991  10 Dy 3.55-3.66, 2 Ac 3.64
Dy 0.0000 0.0026 0.4992  8 Dy 3.54-3.66, 2 Tb 3.61-3.66, 2 Ac 3.64
Dy 0.0000 0.4992 0.0026  8 Dy 3.54-3.66, 2 Tb 3.61-3.66, 2 Ac 3.64
Dy 0.2502 0.6672 0.6672  11 Dy 3.53-3.64, 1 Tb 3.55
Dy 0.2546 0.1684 0.1684  11 Dy 3.49-3.67, 1 Ac 3.59
Dy 0.2549 0.1684 0.6644  10 Dy 3.48-3.67, 1 Tb 3.57, 1 Ac 3.59
Dy 0.2549 0.6644 0.1684  10 Dy 3.48-3.67, 1 Tb 3.57, 1 Ac 3.59
Dy 0.5000 0.0004 0.0004  12 Dy 3.50-3.64
Dy 0.5000 0.0003 0.5004  12 Dy 3.48-3.64
Dy 0.5000 0.5004 0.0003  12 Dy 3.48-3.64
Dy 0.5000 0.5005 0.5005  12 Dy 3.48-3.64
Dy 0.7454 0.1684 0.1684  11 Dy 3.49-3.67, 1 Ac 3.59
Dy 0.7451 0.1684 0.6644  10 Dy 3.48-3.67, 1 Tb 3.57, 1 Ac 3.59
Dy 0.7451 0.6644 0.1684  10 Dy 3.48-3.67, 1 Tb 3.57, 1 Ac 3.59
Dy 0.7498 0.6672 0.6672  11 Dy 3.53-3.64, 1 Tb 3.55

---

Ac14TbDy | GGA-PBE | optimized geometry

## Properties
space-group type = Amm2, No. 38

a = 11.1890 Å, b = 7.8688 Å, c = 7.8688 Å
α = 90.01°, β = 90.00°, γ = 90.00°
Last column: nearest neighbours and their distance in Å.
Positions (direct):
Ac 0.0000 0.0000 0.0000  12 Ac 3.93-4.00
Ac 0.0000 0.9998 0.5003  12 Ac 3.93-4.00
Ac 0.0000 0.5003 0.9998  12 Ac 3.93-4.00
Ac 0.0000 0.5001 0.5001  12 Ac 3.93-4.00
Ac 0.2563 0.2503 0.2503  1 Dy 3.89, 10 Ac 3.89-4.00, 1 Tb 3.89
Ac 0.2565 0.2501 0.7501  10 Ac 3.89-4.00, 1 Tb 3.89, 1 Dy 3.89
Ac 0.2565 0.7501 0.2501  10 Ac 3.89-4.00, 1 Tb 3.89, 1 Dy 3.89
Ac 0.2569 0.7499 0.7499  1 Dy 3.89, 10 Ac 3.89-4.00, 1 Tb 3.89
Ac 0.5000 0.0003 0.5000  8 Ac 3.89, 2 Dy 3.93-3.94, 2 Tb 3.93-3.94
Ac 0.5000 0.5000 0.0003  8 Ac 3.89, 2 Dy 3.93-3.94, 2 Tb 3.93-3.94
Ac 0.7435 0.2501 0.7501  10 Ac 3.89-4.00, 1 Tb 3.89, 1 Dy 3.89
Ac 0.7435 0.7501 0.2501  10 Ac 3.89-4.00, 1 Tb 3.89, 1 Dy 3.89
Ac 0.7431 0.7499 0.7499  1 Dy 3.89, 10 Ac 3.89-4.00, 1 Tb 3.89
Ac 0.7437 0.2503 0.2503  1 Dy 3.89, 10 Ac 3.89-4.00, 1 Tb 3.89
Tb 0.5000 0.0004 0.0004  12 Ac 3.89-3.94
Dy 0.5000 0.4999 0.4999  12 Ac 3.89-3.94

---

AcTb5Dy3 | GGA-PBE | optimized geometry

## Properties
space-group type = C2/c, No. 15

a = 9.0696 Å, b = 9.0696 Å, c = 9.0528 Å
α = 113.92°, β = 113.92°, γ = 65.64°
Last column: nearest neighbours and their distance in Å.
Positions (direct):
Ac 0.0708 0.9292 0.7500  5 Tb 3.38-3.58, 2 Dy 3.70
Ac 0.9292 0.0708 0.2500  5 Tb 3.38-3.58, 2 Dy 3.70
Tb 0.0972 0.2606 0.1006  3 Tb 3.23-3.47, 2 Ac 3.38-3.58, 1 Dy 3.54
Tb 0.2464 0.4287 0.9262  5 Tb 3.23-3.54, 1 Dy 3.60
Tb 0.2606 0.0972 0.6006  3 Tb 3.23-3.47, 2 Ac 3.38-3.58, 1 Dy 3.54
Tb 0.4190 0.5810 0.7500  4 Tb 3.25-3.54, 1 Ac 3.42, 2 Dy 3.63
Tb 0.4287 0.2464 0.4262  5 Tb 3.23-3.54, 1 Dy 3.60
Tb 0.5713 0.7536 0.5738  5 Tb 3.23-3.54, 1 Dy 3.60
Tb 0.5810 0.4190 0.2500  4 Tb 3.25-3.54, 1 Ac 3.42, 2 Dy 3.63
Tb 0.7394 0.9028 0.3994  3 Tb 3.23-3.47, 2 Ac 3.38-3.58, 1 Dy 3.54
Tb 0.7536 0.5713 0.0738  5 Tb 3.23-3.54, 1 Dy 3.60
Tb 0.9028 0.7394 0.8994  3 Tb 3.23-3.47, 2 Ac 3.38-3.58, 1 Dy 3.54
Dy 0.0000 0.5000 0.5000  2 Dy 3.51, 10 Tb 3.63-3.79, 2 Ac 3.80
Dy 0.1745 0.6560 0.3335  2 Dy 3.51-3.57, 9 Tb 3.54-3.89, 2 Ac 3.70-3.82
Dy 0.3440 0.8255 0.1665  2 Dy 3.51-3.57, 9 Tb 3.54-3.89, 2 Ac 3.70-3.82
Dy 0.5000 0.0000 0.0000  2 Dy 3.51, 10 Tb 3.63-3.79, 2 Ac 3.80
Dy 0.6560 0.1745 0.8335  2 Dy 3.51-3.57, 9 Tb 3.54-3.89, 2 Ac 3.70-3.82
Dy 0.8255 0.3440 0.6665  2 Dy 3.51-3.57, 9 Tb 3.54-3.89, 2 Ac 3.70-3.82

---

Ac2Tb4Dy | GGA-PBE | optimized geometry

## Properties
space-group type = Cmmm, No. 65

a = 3.6417 Å, b = 37.6709 Å, c = 3.6524 Å
α = 90.00°, β = 90.00°, γ = 90.00°
Last column: nearest neighbours and their distance in Å.
Positions (direct):
Ac 0.0000 0.2041 0.0000  6 Ac 3.64-3.91, 4 Tb 3.79
Ac 0.0000 0.7959 0.0000  6 Ac 3.64-3.91, 4 Tb 3.79
Ac 0.5000 0.2959 0.0000  6 Ac 3.64-3.91, 4 Tb 3.79
Ac 0.5000 0.7041 0.0000  6 Ac 3.64-3.91, 4 Tb 3.79
Tb 0.0000 0.0651 0.0000  4 Dy 3.56, 8 Tb 3.57-3.65
Tb 0.0000 0.3695 0.5000  8 Tb 3.57-3.65, 4 Ac 3.79
Tb 0.0000 0.6305 0.5000  8 Tb 3.57-3.65, 4 Ac 3.79
Tb 0.0000 0.9349 0.0000  4 Dy 3.56, 8 Tb 3.57-3.65
Tb 0.5000 0.1305 0.5000  8 Tb 3.57-3.65, 4 Ac 3.79
Tb 0.5000 0.4349 0.0000  4 Dy 3.56, 8 Tb 3.57-3.65
Tb 0.5000 0.5651 0.0000  4 Dy 3.56, 8 Tb 3.57-3.65
Tb 0.5000 0.8695 0.5000  8 Tb 3.57-3.65, 4 Ac 3.79
Dy 0.0000 0.5000 0.5000  8 Tb 3.56, 4 Dy 3.64-3.65
Dy 0.5000 0.0000 0.5000  8 Tb 3.56, 4 Dy 3.64-3.65

---

Calculated formation energy from the elements (meV per atom), listed in the same order as above: 65; 101; 128; 28; 143; 221; 21; 30; 90; 93
Calculated raw total energy (eV per atom), listed in the same order as above: -4.382; -4.481; -4.450; -4.564; -4.427; -4.314; -4.552; -4.142; -4.473; -4.385